VASP calculation (PBE-GGA) on crystalline Rb2GaI4 at its relaxed geometry.

## Properties
ΔE to the lowest computed polymorph = 0 meV per atom
Calculated total energy = -2.590 eV/atom
Total magnetization = 0.00 μB per cell

```
data_Rb2GaI4
_space_group_name_H-M_alt 'I 4/m m m'
_space_group_IT_number 139
_space_group_name_Hall '-I 4 2'
_cell_length_a 5.7858
_cell_length_b 5.7858
_cell_length_c 18.8923
_cell_angle_alpha 90.00
_cell_angle_beta 90.00
_cell_angle_gamma 90.00
loop_
_atom_site_label
_atom_site_type_symbol
_atom_site_fract_x
_atom_site_fract_y
_atom_site_fract_z
Rb1 Rb 0.0000 0.0000 0.1422
Ga1 Ga 0.0000 0.0000 0.5000
I1 I 0.0000 0.0000 0.3378
I2 I 0.0000 0.5000 0.0000
```